# 1
First-principles (SCAN) data for a crystal of ZnCo2Os relaxed with PBEsol, as listed in Alexandria.

Calculated values
Volume ... 47.64 Å³/cell
Crystal system ... monoclinic
Space-group type ... C2/m (12)
Formation energy ... 232.5 meV per atom

Lattice parameters (Å, degrees): 2.5739 4.3545 4.5015 98.31 90.00 107.19
Last column: magnetic moment on the atom in μB.
Atoms (fractional coordinates):
Co1 0.7477 0.4953 0.7377  1.64
Co2 0.2523 0.5047 0.2623  1.64
Zn1 0.5000 0.0000 0.0000  -0.02
Os1 0.0000 0.0000 0.5000  0.25

# 2
First-principles (SCAN) data for a crystal of Y2Al relaxed with PBEsol, as listed in Alexandria.

Calculated values
Volume ... 232.98 Å³/cell
Crystal system ... hexagonal
Space-group type ... P-62m (189)
Formation energy ... -297.8 meV per atom

Lattice parameters (Å, degrees): 3.6457 8.5902 8.5902 120.00 90.00 90.00
Last column: magnetic moment on the atom in μB.
Atoms (fractional coordinates):
Y1 0.0000 0.7150 0.7150  0.29
Y2 0.0000 0.0000 0.2850  0.29
Y3 0.0000 0.2850 0.0000  0.29
Y4 0.5000 0.3821 0.3821  0.35
Y5 0.5000 0.0000 0.6179  0.35
Y6 0.5000 0.6179 0.0000  0.35
Al1 0.0000 0.6667 0.3333  -0.03
Al2 0.0000 0.3333 0.6667  -0.03
Al3 0.5000 0.0000 0.0000  -0.03